Material: Pu3N3F
Method: DFT, PBE-GGA
State: optimized geometry

Cell: 6.6606 6.6606 17.7951 Å, 90.00 90.00 120.00°
Space group R-3 (No. 148, hexagonal axes)
Asymmetric unit:
Pu 0.0037 0.6613 0.4088 x18
N 0.0050 0.6796 0.6167 x18
F 0.0000 0.0000 0.1688 x6

- DOS at the Fermi energy (states/eV per cell) = 80.53
- calculated volume (Å³/atom) = 16.3
- raw total energy (eV per atom) = -11.606


Material: In2IrPt
Method: DFT, PBE-GGA
State: optimized geometry

Cell: 6.572 6.572 6.572 Å, 90.00 90.00 90.00°
Space group Fm-3m (No. 225)
Asymmetric unit:
In 0.250 0.250 0.250 x8
Ir 0.000 0.000 0.000 x4
Pt 0.000 0.000 0.500 x4

- DOS at the Fermi energy (states/eV per cell) = 10.11
- calculated volume (Å³/atom) = 17.7
- distance to the lowest polymorph of the same formula (meV/atom) = 55
- formation enthalpy at 0 K (eV/f.u.) = -0.67


Material: Cr2CuOsRh
Method: DFT, PBE-GGA
State: optimized geometry

Cell: 4.184 4.184 4.349 Å, 90.00 90.00 90.00°
Space group P4/mmm (No. 123)
Asymmetric unit:
Cr 0.000 0.500 0.000 x2
Cu 0.000 0.000 0.000 x1
Os 0.500 0.500 0.500 x1
Rh 0.000 0.000 0.500 x1

- DOS at the Fermi energy (states/eV per cell) = 6.85
- calculated volume (Å³/atom) = 15.2
- formation enthalpy at 0 K (eV/f.u.) = 8.46


Material: MgZrAsSe2
Method: DFT, PBE-GGA
State: optimized geometry

Cell: 4.893 4.893 4.915 Å, 90.00 90.00 90.00°
Space group P4/mmm (No. 123)
Asymmetric unit:
Mg 0.000 0.000 0.000 x1
Zr 0.500 0.500 0.500 x1
As 0.000 0.000 0.500 x1
Se 0.000 0.500 0.000 x2

- DOS at the Fermi energy (states/eV per cell) = 4.87
- calculated volume (Å³/atom) = 23.5
- distance to the lowest polymorph of the same formula (meV/atom) = 462